Record 1
This record from the Alexandria database describes a geometry-optimized CePaCl2 structure. The functional is PBE.

Values from the calculation:
- Fermi-level density of states: 8.53 states/eV/f.u.
- ΔE_f (raw): -1.03 eV/atom
- E: -5.809 eV/atom

Cell: 3.3719 3.3719 29.6764 Å, 90.00 90.00 120.00°
Space group R-3m (No. 166, hexagonal axes)
Unique sites:
Ce: 0.0000 0.0000 0.0000 x3
Pa: 0.0000 0.0000 0.5000 x3
Cl: 0.0000 0.0000 0.4042 x6

Record 2
This record from the Alexandria database describes a geometry-optimized TiHg2I structure. The functional is PBE.

Values from the calculation:
- Relative energy among the computed polymorphs: 0.350 eV per atom
- Fermi-level density of states: 3.83 states/eV/f.u.
- ΔE_f (raw): 0.52 eV/atom
- E: -1.989 eV/atom

Cell: 7.620 7.620 7.620 Å, 90.00 90.00 90.00°
Space group Fm-3m (No. 225)
Unique sites:
Ti: 0.000 0.000 0.000 x4
Hg: 0.250 0.250 0.250 x8
I: 0.000 0.000 0.500 x4

Record 3
This record from the Alexandria database describes a geometry-optimized Ce8Sn2Ru structure. The functional is PBE.

Values from the calculation:
- Formation energy from the elements: -0.3437 eV per atom
- Fermi-level density of states: 27.73 states/eV/f.u.
- E: -6.230 eV/atom

Cell: 5.622 6.993 14.448 Å, 90.00 90.00 90.00°
Space group Immm (No. 71)
Unique sites:
Ce: 0.000 0.000 0.140 x4
Ce: 0.000 0.208 0.376 x8
Ce: 0.000 0.268 0.000 x4
Sn: 0.000 0.500 0.199 x4
Ru: 0.000 0.500 0.500 x2